Entry 1:
VASP calculation (PBE) on POsSe after structural relaxation.

Cell: 6.3615 6.3615 6.3615 Å, 153.43 153.43 37.93°
Closest atoms and distances in Å follow each position.
Sites, in units of the cell vectors:
1 P 0.3742 0.3742 0.0000  4 Os 2.47
2 Os 0.9867 0.9867 0.0000  4 P 2.47, 4 Se 2.76
3 Se 0.6392 0.6392 0.0000  4 Os 2.76, 4 Se 2.92

Computed properties:
**DOS(E_F)**: 1.62 states/eV/f.u.
**E**: -19.400 eV for the cell shown
**Magnetization**: 0.0 μB per formula unit
**ΔE_f (raw)**: 0.2415 eV/atom

Entry 2:
VASP calculation (PBE) on POsSe after structural relaxation.

Cell: 4.1356 4.1356 4.1356 Å, 60.00 60.00 60.00°
Closest atoms and distances in Å follow each position.
Sites, in units of the cell vectors:
1 P 0.2500 0.2500 0.2500  4 Os 2.53, 4 Se 2.53
2 Os 0.5000 0.5000 0.5000  4 P 2.53
3 Se 0.0000 0.0000 0.0000  4 P 2.53

Computed properties:
**DOS(E_F)**: 2.28 states/eV/f.u.
**E**: -17.619 eV for the cell shown
**Magnetization**: 0.0 μB per formula unit
**ΔE_f (raw)**: 0.8351 eV/atom

Entry 3:
VASP calculation (PBE) on POsSe2 after structural relaxation.

Cell: 3.0173 4.5943 4.6433 Å, 90.00 90.00 90.00°
Closest atoms and distances in Å follow each position.
Sites, in units of the cell vectors:
1 P 0.0000 0.5000 0.5000  4 Se 2.75, 4 Os 2.77, 2 P 3.02
2 Os 0.5000 0.5000 0.0000  4 Se 2.75, 4 P 2.77, 2 Os 3.02
3 Se 0.0000 0.0000 0.0000  4 Os 2.75, 6 Se 2.77-3.02
4 Se 0.5000 0.0000 0.5000  4 P 2.75, 6 Se 2.77-3.02

Computed properties:
**DOS(E_F)**: 3.16 states/eV/f.u.
**E**: -19.995 eV for the cell shown
**Magnetization**: 0.0 μB per formula unit
**ΔE_f (raw)**: 0.9033 eV/atom

Entry 4:
VASP calculation (PBE) on POsSe2 after structural relaxation.

Cell: 7.2356 7.2356 7.2356 Å, 151.73 151.65 40.47°
Closest atoms and distances in Å follow each position.
Sites, in units of the cell vectors:
1 P 0.5000 0.0000 0.5000  4 Os 2.50, 4 Se 2.60
2 Os 0.0000 0.5000 0.5000  4 P 2.50, 4 Se 2.60
3 Se 0.8596 0.8596 0.0000  2 Os 2.60, 2 P 2.60
4 Se 0.1404 0.1404 0.0000  2 Os 2.60, 2 P 2.60

Computed properties:
**DOS(E_F)**: 2.55 states/eV/f.u.
**E**: -22.340 eV for the cell shown
**Magnetization**: 0.0 μB per formula unit
**ΔE_f (raw)**: 0.3172 eV/atom

Entry 5:
VASP calculation (PBE) on POsSe2 after structural relaxation.

Cell: 4.2304 2.9433 6.5548 Å, 89.27 90.00 90.00°
Closest atoms and distances in Å follow each position.
Sites, in units of the cell vectors:
1 P 0.5000 0.5028 0.2899  2 Os 2.30, 1 Se 2.56
2 Os 0.0000 0.4983 0.4286  2 P 2.30
3 Se 0.0000 0.0076 0.1016  2 Os 2.60, 4 P 2.86
4 Se 0.5000 0.4913 0.6798  1 P 2.56, 2 Os 2.68

Computed properties:
**DOS(E_F)**: 2.76 states/eV/f.u.
**E**: -21.730 eV for the cell shown
**Magnetization**: 0.0 μB per formula unit
**ΔE_f (raw)**: 0.4698 eV/atom

Entry 6:
VASP calculation (PBE) on POsSe2 after structural relaxation.

Cell: 6.2570 6.2570 6.2570 Å, 152.24 137.14 51.84°
Closest atoms and distances in Å follow each position.
Sites, in units of the cell vectors:
1 P 0.6624 0.1624 0.5000  2 Os 2.39
2 Os 0.4972 0.4972 0.0000  2 P 2.39, 2 Se 2.57
3 Se 0.0281 0.0281 0.0000  2 P 2.74, 4 Os 2.76, 2 Se 3.00
4 Se 0.3122 0.8122 0.5000  2 Os 2.57

Computed properties:
**DOS(E_F)**: 1.89 states/eV/f.u.
**E**: -22.048 eV for the cell shown
**Magnetization**: 0.0 μB per formula unit
**ΔE_f (raw)**: 0.3903 eV/atom

Entry 7:
VASP calculation (PBE) on POsSe2 after structural relaxation.

Cell: 2.9382 2.9382 8.4346 Å, 90.00 90.00 90.00°
Closest atoms and distances in Å follow each position.
Sites, in units of the cell vectors:
1 P 0.5000 0.5000 0.5000  4 P 2.94
2 Os 0.5000 0.5000 0.0000  8 Se 2.65, 4 Os 2.94
3 Se 0.0000 0.0000 0.8043  4 Os 2.65, 4 Se 2.94
4 Se 0.0000 0.0000 0.1957  4 Os 2.65, 4 Se 2.94

Computed properties:
**DOS(E_F)**: 2.32 states/eV/f.u.
**E**: -20.924 eV for the cell shown
**Magnetization**: 0.0 μB per formula unit
**ΔE_f (raw)**: 0.6711 eV/atom

Entry 8:
VASP calculation (PBE) on POsSe2 after structural relaxation.

Cell: 4.4593 4.4593 4.4593 Å, 109.06 109.06 110.30°
Closest atoms and distances in Å follow each position.
Sites, in units of the cell vectors:
1 P 0.5000 0.5000 0.0000  2 Os 2.55, 4 Se 2.59
2 Os 0.0000 0.0000 0.0000  2 P 2.55, 4 Se 2.59
3 Se 0.0000 0.5000 0.5000  2 Se 2.55, 2 Os 2.59, 2 P 2.59
4 Se 0.5000 0.0000 0.5000  2 Se 2.55, 2 Os 2.59, 2 P 2.59

Computed properties:
**DOS(E_F)**: 2.18 states/eV/f.u.
**E**: -21.639 eV for the cell shown
**Magnetization**: 0.0 μB per formula unit
**ΔE_f (raw)**: 0.4925 eV/atom

Entry 9:
VASP calculation (PBE) on POsSe2 after structural relaxation.

Cell: 4.5028 4.5028 4.5028 Å, 60.00 60.00 60.00°
Closest atoms and distances in Å follow each position.
Sites, in units of the cell vectors:
1 P 0.2500 0.2500 0.2500  4 Se 2.76, 4 Os 2.76
2 Os 0.5000 0.5000 0.5000  4 Se 2.76, 4 P 2.76
3 Se 0.0000 0.0000 0.0000  4 Se 2.76, 4 P 2.76
4 Se 0.7500 0.7500 0.7500  4 Os 2.76, 4 Se 2.76

Computed properties:
**DOS(E_F)**: 2.67 states/eV/f.u.
**E**: -20.212 eV for the cell shown
**Magnetization**: 0.0 μB per formula unit
**ΔE_f (raw)**: 0.8492 eV/atom

Entry 10:
VASP calculation (PBE) on POsSe2 after structural relaxation.

Cell: 6.3135 6.3135 6.2770 Å, 59.81 59.81 90.00°
Closest atoms and distances in Å follow each position.
Sites, in units of the cell vectors:
1 P 0.5000 0.5000 0.0000  4 Se 2.60
2 P 0.2500 0.7500 0.5000  4 Se 2.60
3 Os 0.0000 0.0000 0.0000  4 Se 2.38
4 Os 0.7500 0.2500 0.5000  4 Se 2.38
5 Se 0.6528 0.1250 0.2500  2 Os 2.38, 2 P 2.60
6 Se 0.0972 0.6250 0.2500  2 Os 2.38, 2 P 2.60
7 Se 0.3750 0.3472 0.7500  2 Os 2.38, 2 P 2.60
8 Se 0.8750 0.9028 0.7500  2 Os 2.38, 2 P 2.60

Computed properties:
**DOS(E_F)**: 2.61 states/eV/f.u.
**E**: -42.199 eV for the cell shown
**Magnetization**: 0.0 μB per formula unit
**ΔE_f (raw)**: 0.6273 eV/atom

Entry 11:
VASP calculation (PBE) on POsSe after structural relaxation.

Cell: 3.6737 3.6737 5.7137 Å, 90.00 90.00 120.00°
Closest atoms and distances in Å follow each position.
Sites, in units of the cell vectors:
1 P 0.6667 0.3333 0.1850  3 Os 2.26
2 Os 0.0000 0.0000 0.0461  3 P 2.26
3 Se 0.3333 0.6667 0.7689  3 Os 2.65

Computed properties:
**DOS(E_F)**: 2.08 states/eV/f.u.
**E**: -19.842 eV for the cell shown
**Magnetization**: 0.0 μB per formula unit
**ΔE_f (raw)**: 0.0941 eV/atom

Entry 12:
VASP calculation (PBE) on POsSe after structural relaxation.

Cell: 5.9802 6.0108 6.1023 Å, 112.22 90.00 90.00°
Closest atoms and distances in Å follow each position.
Sites, in units of the cell vectors:
1 P 0.1363 0.3446 0.9277  3 Os 2.29-2.33, 1 Se 2.45
2 P 0.1280 0.8513 0.3720  3 Os 2.39-2.45, 1 Se 2.44
3 P 0.6280 0.1487 0.6280  3 Os 2.39-2.45, 1 Se 2.44
4 P 0.6363 0.6554 0.0723  3 Os 2.29-2.33, 1 Se 2.45
5 Se 0.8742 0.6626 0.5634  1 P 2.44, 3 Os 2.46-2.48
6 Se 0.8814 0.1560 0.1197  1 P 2.45, 3 Os 2.53-2.57
7 Se 0.3814 0.8440 0.8803  1 P 2.45, 3 Os 2.53-2.57
8 Se 0.3742 0.3374 0.4366  1 P 2.44, 3 Os 2.46-2.48
9 Os 0.9918 0.2657 0.5515  3 P 2.33-2.45, 3 Se 2.46-2.55
10 Os 0.4918 0.7343 0.4485  3 P 2.33-2.45, 3 Se 2.46-2.55
11 Os 0.4920 0.2821 0.0329  3 P 2.29-2.43, 3 Se 2.46-2.57
12 Os 0.9920 0.7179 0.9671  3 P 2.29-2.43, 3 Se 2.46-2.57

Computed properties:
**E**: -84.963 eV for the cell shown
**Magnetization**: 0.0 μB per formula unit
**ΔE_f (raw)**: -0.3722 eV/atom

Entry 13:
VASP calculation (PBE) on POsSe2 after structural relaxation.

Cell: 4.5833 4.5833 3.0741 Å, 90.00 90.00 90.00°
Closest atoms and distances in Å follow each position.
Sites, in units of the cell vectors:
1 P 0.0000 0.0000 0.5000  8 Se 2.76, 2 P 3.07
2 Os 0.5000 0.5000 0.5000  8 Se 2.76, 2 Os 3.07
3 Se 0.5000 0.0000 0.0000  4 Os 2.76, 4 P 2.76, 2 Se 3.07
4 Se 0.0000 0.5000 0.0000  4 Os 2.76, 4 P 2.76, 2 Se 3.07

Computed properties:
**DOS(E_F)**: 2.15 states/eV/f.u.
**E**: -20.296 eV for the cell shown
**Magnetization**: 0.0 μB per formula unit
**ΔE_f (raw)**: 0.8282 eV/atom

Entry 14:
VASP calculation (PBE) on POsSe2 after structural relaxation.

Cell: 3.8082 3.8082 8.3336 Å, 105.93 105.93 46.77°
Closest atoms and distances in Å follow each position.
Sites, in units of the cell vectors:
1 P 0.0000 0.0000 0.5000  2 Se 2.56
2 Os 0.5000 0.5000 0.0000  6 Se 2.50-2.52
3 Se 0.1421 0.1421 0.8216  3 Os 2.50-2.52, 1 P 2.56
4 Se 0.8579 0.8579 0.1784  3 Os 2.50-2.52, 1 P 2.56

Computed properties:
**DOS(E_F)**: 2.33 states/eV/f.u.
**E**: -21.783 eV for the cell shown
**Magnetization**: 0.0 μB per formula unit
**ΔE_f (raw)**: 0.4565 eV/atom

Entry 15:
VASP calculation (PBE) on POsSe2 after structural relaxation.

Cell: 8.6008 8.6008 8.6008 Å, 21.02 21.02 21.02°
Closest atoms and distances in Å follow each position.
Sites, in units of the cell vectors:
1 P 0.0000 0.0000 0.0000  6 Se 3.00, 6 P 3.14
2 Os 0.5000 0.5000 0.5000  6 Se 2.57
3 Se 0.7613 0.7613 0.7613  3 Os 2.57
4 Se 0.2387 0.2387 0.2387  3 Os 2.57

Computed properties:
**DOS(E_F)**: 3.21 states/eV/f.u.
**E**: -21.279 eV for the cell shown
**Magnetization**: 0.0 μB per formula unit
**ΔE_f (raw)**: 0.5824 eV/atom

Entry 16:
VASP calculation (PBE) on POsSe2 after structural relaxation.

Cell: 4.2464 4.2464 6.9228 Å, 72.58 72.58 50.82°
Closest atoms and distances in Å follow each position.
Sites, in units of the cell vectors:
1 P 0.8521 0.8521 0.6288  3 Os 2.34-2.36, 2 Se 2.34-2.41
2 Os 0.5496 0.5496 0.6216  3 P 2.34-2.36, 4 Se 2.57-2.60
3 Se 0.9623 0.9623 0.9065  1 P 2.34, 2 Os 2.60
4 Se 0.1360 0.1360 0.3431  1 P 2.41, 2 Os 2.57

Computed properties:
**DOS(E_F)**: 2.72 states/eV/f.u.
**E**: -23.636 eV for the cell shown
**Magnetization**: 0.0 μB per formula unit
**ΔE_f (raw)**: -0.0067 eV/atom

Entry 17:
VASP calculation (PBE) on P3OsSe after structural relaxation.

Cell: 4.5969 4.5969 4.5969 Å, 90.00 90.00 90.00°
Closest atoms and distances in Å follow each position.
Sites, in units of the cell vectors:
1 P 0.0000 0.5000 0.0000  2 Os 2.30
2 P 0.0000 0.0000 0.5000  2 Os 2.30
3 P 0.5000 0.0000 0.0000  2 Os 2.30
4 Os 0.0000 0.0000 0.0000  6 P 2.30
5 Se 0.5000 0.5000 0.5000  12 P 3.25

Computed properties:
**ΔE to the lowest computed polymorph**: 0 meV/atom
**DOS(E_F)**: 3.82 states/eV/f.u.
**E**: -27.564 eV for the cell shown
**Magnetization**: 0.0 μB per formula unit
**ΔE_f (raw)**: 0.6760 eV/atom

Entry 18:
VASP calculation (PBE) on POsSe2 after structural relaxation.

Cell: 2.8660 2.8660 9.9373 Å, 90.00 90.00 118.86°
Closest atoms and distances in Å follow each position.
Sites, in units of the cell vectors:
1 P 0.5000 0.5000 0.0000  6 P 2.87-2.92, 4 Se 3.20
2 Os 0.5000 0.5000 0.5000  4 Se 2.57, 4 Os 2.87
3 Se 0.0000 0.0000 0.2867  2 Os 2.57, 4 Se 2.87
4 Se 0.0000 0.0000 0.7133  2 Os 2.57, 4 Se 2.87

Computed properties:
**DOS(E_F)**: 3.81 states/eV/f.u.
**E**: -20.435 eV for the cell shown
**Magnetization**: 0.0 μB per formula unit
**ΔE_f (raw)**: 0.7933 eV/atom

Entry 19:
VASP calculation (PBE) on POsSe2 after structural relaxation.

Cell: 2.8300 2.8300 10.8643 Å, 90.00 90.00 117.47°
Closest atoms and distances in Å follow each position.
Sites, in units of the cell vectors:
1 P 0.5000 0.5000 0.3148  2 Os 2.34
2 Os 0.0000 0.0000 0.4825  2 P 2.34
3 Se 0.0000 0.0000 0.0093  6 Se 2.83-2.94
4 Se 0.5000 0.5000 0.6933  2 Os 2.72, 6 Se 2.83-2.94

Computed properties:
**DOS(E_F)**: 3.74 states/eV/f.u.
**E**: -21.595 eV for the cell shown
**Magnetization**: 0.0 μB per formula unit
**ΔE_f (raw)**: 0.5035 eV/atom

Entry 20:
VASP calculation (PBE) on POs3Se after structural relaxation.

Cell: 4.5371 4.5371 4.5371 Å, 90.00 90.00 90.00°
Closest atoms and distances in Å follow each position.
Sites, in units of the cell vectors:
1 P 0.5000 0.5000 0.5000  12 Os 3.21
2 Os 0.0000 0.5000 0.0000  2 Se 2.27
3 Os 0.0000 0.0000 0.5000  2 Se 2.27
4 Os 0.5000 0.0000 0.0000  2 Se 2.27
5 Se 0.0000 0.0000 0.0000  6 Os 2.27

Computed properties:
**ΔE to the lowest computed polymorph**: 844 meV/atom
**DOS(E_F)**: 4.53 states/eV/f.u.
**E**: -32.105 eV for the cell shown
**Magnetization**: 0.0 μB per formula unit
**ΔE_f (raw)**: 2.0956 eV/atom